# Ac2LaNd5Sm | the Alexandria database | GGA-PBE | optimized geometry
data_Ac2LaNd5Sm
_chemical_formula_sum 'Ac4 La2 Nd10 Sm2'
_cell_length_a 10.7843
_cell_length_b 10.7843
_cell_length_c 11.1040
_cell_angle_alpha 90.00
_cell_angle_beta 90.00
_cell_angle_gamma 148.18
_space_group_name_H-M_alt 'P 1'
_space_group_IT_number 1
loop_
_space_group_symop_operation_xyz
'x,y,z'
loop_
_atom_site_label
_atom_site_fract_x
_atom_site_fract_y
_atom_site_fract_z
Ac1 0.1143 0.8857 0.5000
Ac2 0.1173 0.8827 0.0917
Ac3 0.8827 0.1173 0.5917
Ac4 0.8857 0.1143 0.0000
La1 0.4144 0.5856 0.2313
La2 0.5856 0.4144 0.7313
Nd1 0.0192 0.9808 0.7958
Nd2 0.2829 0.7171 0.0819
Nd3 0.2964 0.7036 0.4747
Nd4 0.3912 0.6088 0.7920
Nd5 0.4822 0.5178 0.5112
Nd6 0.5178 0.4822 0.0112
Nd7 0.6088 0.3912 0.2920
Nd8 0.7036 0.2964 0.9747
Nd9 0.7171 0.2829 0.5819
Nd10 0.9808 0.0192 0.2958
Sm1 0.2079 0.7921 0.7790
Sm2 0.7921 0.2079 0.2790
# **Formation enthalpy at 0 K**: 13 kJ/mol of atoms
# **Raw total energy**: -4.503 eV per atom
# **Space-group type**: Cmc2_1

---

# SmHo12Tm5 | the Alexandria database | GGA-PBE | optimized geometry
data_SmHo12Tm5
_chemical_formula_sum 'Sm1 Ho12 Tm5'
_cell_length_a 6.1109
_cell_length_b 6.1109
_cell_length_c 17.2334
_cell_angle_alpha 93.39
_cell_angle_beta 93.39
_cell_angle_gamma 119.99
_space_group_name_H-M_alt 'P 1'
_space_group_IT_number 1
loop_
_space_group_symop_operation_xyz
'x,y,z'
loop_
_atom_site_label
_atom_site_fract_x
_atom_site_fract_y
_atom_site_fract_z
Sm1 0.0000 0.0000 0.0000
Ho1 0.0563 0.3906 0.1670
Ho2 0.1121 0.1121 0.3334
Ho3 0.2211 0.5545 0.6666
Ho4 0.2781 0.2781 0.8330
Ho5 0.3906 0.0563 0.1670
Ho6 0.4455 0.7789 0.3334
Ho7 0.5545 0.2211 0.6666
Ho8 0.6094 0.9437 0.8330
Ho9 0.7219 0.7219 0.1670
Ho10 0.7789 0.4455 0.3334
Ho11 0.8879 0.8879 0.6666
Ho12 0.9437 0.6094 0.8330
Tm1 0.1665 0.8335 0.5000
Tm2 0.3333 0.6667 0.0000
Tm3 0.5000 0.5000 0.5000
Tm4 0.6667 0.3333 0.0000
Tm5 0.8335 0.1665 0.5000
# **Formation enthalpy at 0 K**: 1 kJ/mol of atoms
# **Raw total energy**: -4.545 eV per atom
# **Space-group type**: C2/m

---

# Sc4GaAgPd2 | the Alexandria database | GGA-PBE | optimized geometry
data_Sc4GaAgPd2
_chemical_formula_sum 'Sc4 Ga1 Ag1 Pd2'
_cell_length_a 8.2395
_cell_length_b 8.2395
_cell_length_c 8.2395
_cell_angle_alpha 33.44
_cell_angle_beta 33.44
_cell_angle_gamma 33.44
_space_group_name_H-M_alt 'P 1'
_space_group_IT_number 1
loop_
_space_group_symop_operation_xyz
'x,y,z'
loop_
_atom_site_label
_atom_site_fract_x
_atom_site_fract_y
_atom_site_fract_z
Sc1 0.1241 0.1241 0.1241
Sc2 0.3746 0.3746 0.3746
Sc3 0.6254 0.6254 0.6254
Sc4 0.8759 0.8759 0.8759
Ga1 0.0000 0.0000 0.0000
Ag1 0.5000 0.5000 0.5000
Pd1 0.2524 0.2524 0.2524
Pd2 0.7476 0.7476 0.7476
# **Formation enthalpy at 0 K**: -64 kJ/mol of atoms
# **Raw total energy**: -5.863 eV per atom
# **Space-group type**: R-3m

---

# InSnH | the Alexandria database | GGA-PBE | optimized geometry
data_InSnH
_chemical_formula_sum 'In4 Sn4 H4'
_cell_length_a 6.4278
_cell_length_b 5.5655
_cell_length_c 7.1242
_cell_angle_alpha 90.00
_cell_angle_beta 90.00
_cell_angle_gamma 90.00
_space_group_name_H-M_alt 'P 1'
_space_group_IT_number 1
loop_
_space_group_symop_operation_xyz
'x,y,z'
loop_
_atom_site_label
_atom_site_fract_x
_atom_site_fract_y
_atom_site_fract_z
In1 0.1241 0.2500 0.0118
In2 0.3759 0.7500 0.5118
In3 0.6241 0.2500 0.4882
In4 0.8759 0.7500 0.9882
Sn1 0.1223 0.2500 0.4641
Sn2 0.3777 0.7500 0.9641
Sn3 0.6223 0.2500 0.0359
Sn4 0.8777 0.7500 0.5359
H1 0.1312 0.2500 0.7279
H2 0.3688 0.7500 0.2279
H3 0.6312 0.2500 0.7721
H4 0.8688 0.7500 0.2721
# **Raw total energy**: -3.187 eV per atom
# **Excess energy over the best structure of this formula in the dataset**: 108 meV/atom
# **Space-group type**: Pnma

---

# Li2ThPaN4 | the Alexandria database | GGA-PBE | optimized geometry
data_Li2ThPaN4
_chemical_formula_sum 'Li2 Th1 Pa1 N4'
_cell_length_a 5.4321
_cell_length_b 3.6074
_cell_length_c 6.2014
_cell_angle_alpha 90.00
_cell_angle_beta 111.88
_cell_angle_gamma 90.00
_space_group_name_H-M_alt 'P 1'
_space_group_IT_number 1
loop_
_space_group_symop_operation_xyz
'x,y,z'
loop_
_atom_site_label
_atom_site_fract_x
_atom_site_fract_y
_atom_site_fract_z
Li1 0.0000 0.0000 0.0000
Li2 0.0000 0.5000 0.5000
Th1 0.5000 0.0000 0.5000
Pa1 0.5000 0.5000 0.0000
N1 0.2764 0.0000 0.7711
N2 0.2809 0.5000 0.2406
N3 0.7191 0.5000 0.7594
N4 0.7236 0.0000 0.2289
# **Formation energy from raw total energies**: -1043 meV per atom
# **Raw total energy**: -7.799 eV per atom
# **Space-group type**: P2/m

---

# RbLiIn2Ir | the Alexandria database | GGA-PBE | optimized geometry
data_RbLiIn2Ir
_chemical_formula_sum 'Rb1 Li1 In2 Ir1'
_cell_length_a 5.2046
_cell_length_b 5.2046
_cell_length_c 5.2865
_cell_angle_alpha 90.00
_cell_angle_beta 90.00
_cell_angle_gamma 90.00
_space_group_name_H-M_alt 'P 1'
_space_group_IT_number 1
loop_
_space_group_symop_operation_xyz
'x,y,z'
loop_
_atom_site_label
_atom_site_fract_x
_atom_site_fract_y
_atom_site_fract_z
Rb1 0.0000 0.0000 0.0000
Li1 0.5000 0.5000 0.0000
In1 0.0000 0.5000 0.5000
In2 0.5000 0.0000 0.5000
Ir1 0.5000 0.5000 0.5000
# **Formation enthalpy at 0 K**: -13 kJ/mol of atoms
# **Raw total energy**: -3.578 eV per atom
# **Space-group type**: P4/mmm

---

# Ce6PmSn10 | the Alexandria database | GGA-PBE | optimized geometry
data_Ce6PmSn10
_chemical_formula_sum 'Ce6 Pm1 Sn10'
_cell_length_a 9.3729
_cell_length_b 9.3729
_cell_length_c 6.3543
_cell_angle_alpha 90.00
_cell_angle_beta 90.00
_cell_angle_gamma 120.00
_space_group_name_H-M_alt 'P 1'
_space_group_IT_number 1
loop_
_space_group_symop_operation_xyz
'x,y,z'
loop_
_atom_site_label
_atom_site_fract_x
_atom_site_fract_y
_atom_site_fract_z
Ce1 0.0000 0.3858 0.2682
Ce2 0.0000 0.6142 0.7318
Ce3 0.3858 0.0000 0.2682
Ce4 0.3858 0.3858 0.7318
Ce5 0.6142 0.0000 0.7318
Ce6 0.6142 0.6142 0.2682
Pm1 0.0000 0.0000 0.5000
Sn1 0.0000 0.2697 0.7958
Sn2 0.0000 0.7303 0.2042
Sn3 0.2697 0.0000 0.7958
Sn4 0.2697 0.2697 0.2042
Sn5 0.3333 0.6667 0.0000
Sn6 0.3333 0.6667 0.5000
Sn7 0.6667 0.3333 0.0000
Sn8 0.6667 0.3333 0.5000
Sn9 0.7303 0.0000 0.2042
Sn10 0.7303 0.7303 0.7958
# **Formation enthalpy at 0 K**: -50 kJ/mol of atoms
# **Raw total energy**: -5.243 eV per atom
# **Space-group type**: P-31m

---

# TaSiRu2 | the Alexandria database | GGA-PBE | optimized geometry
data_TaSiRu2
_chemical_formula_sum 'Ta2 Si2 Ru4'
_cell_length_a 5.8826
_cell_length_b 6.4658
_cell_length_c 3.0480
_cell_angle_alpha 90.00
_cell_angle_beta 90.00
_cell_angle_gamma 90.00
_space_group_name_H-M_alt 'P 1'
_space_group_IT_number 1
loop_
_space_group_symop_operation_xyz
'x,y,z'
loop_
_atom_site_label
_atom_site_fract_x
_atom_site_fract_y
_atom_site_fract_z
Ta1 0.0000 0.0000 0.0000
Ta2 0.5000 0.5000 0.0000
Si1 0.0000 0.5000 0.0000
Si2 0.5000 0.0000 0.0000
Ru1 0.2500 0.2500 0.5000
Ru2 0.2500 0.7500 0.5000
Ru3 0.7500 0.2500 0.5000
Ru4 0.7500 0.7500 0.5000
# **Formation energy from raw total energies**: -427 meV per atom
# **Raw total energy**: -9.383 eV per atom
# **Space-group type**: Cmmm

---

# TbHoEr6Tm2 | the Alexandria database | GGA-PBE | optimized geometry
data_TbHoEr6Tm2
_chemical_formula_sum 'Tb2 Ho2 Er12 Tm4'
_cell_length_a 8.6551
_cell_length_b 8.6551
_cell_length_c 9.4033
_cell_angle_alpha 93.72
_cell_angle_beta 93.72
_cell_angle_gamma 117.73
_space_group_name_H-M_alt 'P 1'
_space_group_IT_number 1
loop_
_space_group_symop_operation_xyz
'x,y,z'
loop_
_atom_site_label
_atom_site_fract_x
_atom_site_fract_y
_atom_site_fract_z
Tb1 0.0249 0.9751 0.7500
Tb2 0.9751 0.0249 0.2500
Ho1 0.4090 0.5910 0.2500
Ho2 0.5910 0.4090 0.7500
Er1 0.0195 0.5685 0.6835
Er2 0.1237 0.7521 0.0564
Er3 0.2479 0.8763 0.4436
Er4 0.2909 0.5060 0.8811
Er5 0.4315 0.9805 0.8165
Er6 0.4940 0.7091 0.6189
Er7 0.5060 0.2909 0.3811
Er8 0.5685 0.0195 0.1835
Er9 0.7091 0.4940 0.1189
Er10 0.7521 0.1237 0.5564
Er11 0.8763 0.2479 0.9436
Er12 0.9805 0.4315 0.3165
Tm1 0.1969 0.3030 0.5453
Tm2 0.3030 0.1969 0.0453
Tm3 0.6970 0.8031 0.9547
Tm4 0.8031 0.6970 0.4547
# **Formation enthalpy at 0 K**: 12 kJ/mol of atoms
# **Raw total energy**: -4.429 eV per atom
# **Space-group type**: C2/c

---

# HfMgBi2Rh | the Alexandria database | GGA-PBE | optimized geometry
data_HfMgBi2Rh
_chemical_formula_sum 'Hf1 Mg1 Bi2 Rh1'
_cell_length_a 5.3197
_cell_length_b 5.3197
_cell_length_c 4.5044
_cell_angle_alpha 90.00
_cell_angle_beta 90.00
_cell_angle_gamma 90.00
_space_group_name_H-M_alt 'P 1'
_space_group_IT_number 1
loop_
_space_group_symop_operation_xyz
'x,y,z'
loop_
_atom_site_label
_atom_site_fract_x
_atom_site_fract_y
_atom_site_fract_z
Hf1 0.0000 0.0000 0.0000
Mg1 0.5000 0.5000 0.5000
Bi1 0.0000 0.5000 0.5000
Bi2 0.5000 0.0000 0.5000
Rh1 0.5000 0.5000 0.0000
# **Formation enthalpy at 0 K**: 73 kJ/mol of atoms
# **Raw total energy**: -4.581 eV per atom
# **Space-group type**: P4/mmm

---

# LiLuAlSn | the Alexandria database | GGA-PBE | optimized geometry
data_LiLuAlSn
_chemical_formula_sum 'Li4 Lu4 Al4 Sn4'
_cell_length_a 7.0365
_cell_length_b 7.0365
_cell_length_c 7.0365
_cell_angle_alpha 90.00
_cell_angle_beta 90.00
_cell_angle_gamma 90.00
_space_group_name_H-M_alt 'P 1'
_space_group_IT_number 1
loop_
_space_group_symop_operation_xyz
'x,y,z'
loop_
_atom_site_label
_atom_site_fract_x
_atom_site_fract_y
_atom_site_fract_z
Li1 0.0000 0.0000 0.0000
Li2 0.0000 0.5000 0.5000
Li3 0.5000 0.0000 0.5000
Li4 0.5000 0.5000 0.0000
Lu1 0.0000 0.0000 0.5000
Lu2 0.0000 0.5000 0.0000
Lu3 0.5000 0.0000 0.0000
Lu4 0.5000 0.5000 0.5000
Al1 0.2500 0.2500 0.2500
Al2 0.2500 0.7500 0.7500
Al3 0.7500 0.2500 0.7500
Al4 0.7500 0.7500 0.2500
Sn1 0.2500 0.2500 0.7500
Sn2 0.2500 0.7500 0.2500
Sn3 0.7500 0.2500 0.2500
Sn4 0.7500 0.7500 0.7500
# **Formation enthalpy at 0 K**: -27 kJ/mol of atoms
# **Raw total energy**: -3.821 eV per atom
# **Space-group type**: F-43m

---

# Co2Si2P | the Alexandria database | GGA-PBE | optimized geometry
data_Co2Si2P
_chemical_formula_sum 'Co4 Si4 P2'
_cell_length_a 6.7914
_cell_length_b 6.7914
_cell_length_c 2.5566
_cell_angle_alpha 90.00
_cell_angle_beta 90.00
_cell_angle_gamma 90.00
_space_group_name_H-M_alt 'P 1'
_space_group_IT_number 1
loop_
_space_group_symop_operation_xyz
'x,y,z'
loop_
_atom_site_label
_atom_site_fract_x
_atom_site_fract_y
_atom_site_fract_z
Co1 0.1457 0.3543 0.0000
Co2 0.3543 0.8543 0.0000
Co3 0.6457 0.1457 0.0000
Co4 0.8543 0.6457 0.0000
Si1 0.1488 0.6488 0.5000
Si2 0.3512 0.1488 0.5000
Si3 0.6488 0.8512 0.5000
Si4 0.8512 0.3512 0.5000
P1 0.0000 0.0000 0.0000
P2 0.5000 0.5000 0.0000
# **Formation energy from raw total energies**: -223 meV per atom
# **Raw total energy**: -6.316 eV per atom
# **Excess energy over the best structure of this formula in the dataset**: 0 meV/atom
# **Space-group type**: P4/mbm